VASP calculation (PBE+U) on a geometry-optimized SrWO2 structure.

Cell: 3.092 6.629 6.962 Å, 65.48 89.09 86.41°
Positions (direct):
Sr: 0.287 0.270 0.776
Sr: 0.713 0.730 0.224
O: 0.787 0.155 0.082
O: 0.213 0.845 0.918
O: 0.743 0.602 0.645
O: 0.257 0.398 0.355
W: 0.177 0.830 0.652
W: 0.823 0.170 0.348

Properties
Energy above the lowest structure with this stoichiometry, eV per formula unit: 0.77
Volume, Å³ per cell: 129.55
E_tot, eV/atom: -6.341
Spin magnetization, μB/f.u.: 0.000